DFT (PBE-GGA) results for an optimized crystal structure of Cu6Pb4F19.

abc: 8.0537 8.0537 8.0537
angles: 109.47 109.47 109.47
Atoms (fractional coordinates):
Cu  0.1649  0.6649  0.5000
Cu  0.3351  0.5000  0.8351
Cu  0.5000  0.1649  0.6649
Cu  0.5000  0.8351  0.3351
Cu  0.6649  0.5000  0.1649
Cu  0.8351  0.3351  0.5000
Pb  0.0000  0.0000  0.6795
Pb  0.0000  0.6795  0.0000
Pb  0.3205  0.3205  0.3205
Pb  0.6795  0.0000  0.0000
F  0.0000  0.0000  0.0000
F  0.0000  0.3256  0.3256
F  0.0000  0.6744  0.6744
F  0.0247  0.3677  0.7465
F  0.2535  0.6212  0.2782
F  0.2782  0.2535  0.6212
F  0.3256  0.0000  0.3256
F  0.3256  0.3256  0.0000
F  0.3430  0.9753  0.7218
F  0.3677  0.7465  0.0247
F  0.3788  0.6323  0.6570
F  0.6212  0.2782  0.2535
F  0.6323  0.6570  0.3788
F  0.6570  0.3788  0.6323
F  0.6744  0.0000  0.6744
F  0.6744  0.6744  0.0000
F  0.7218  0.3430  0.9753
F  0.7465  0.0247  0.3677
F  0.9753  0.7218  0.3430

Values from the calculation:
ΔE_f (raw): -1.8318 eV per atom
Total moment: 5.0 μB per cell
DOS(E_F): 0.456 states/eV per atom
Space group: I23, No. 197
Raw total energy: -128.09 eV for the cell shown